NdSm2Tl3: optimized geometry, PBE.

ΔE to the lowest computed polymorph (eV/atom): 0.0000
ΔE_f (meV per atom): -385
DFT total energy (eV/f.u.): -23.6

```
NdSm2Tl3
1.0
3.853 0.000 0.000
0.000 3.853 0.000
0.000 0.000 11.800
Nd Sm Tl
1 2 3
direct
0.000 0.000 0.000 Nd
0.000 0.000 0.335 Sm
0.000 0.000 0.665 Sm
0.500 0.500 0.171 Tl
0.500 0.500 0.500 Tl
0.500 0.500 0.829 Tl
```

Cs2LaBr5: optimized geometry, PBE.

ΔE to the lowest computed polymorph (eV/atom): 0.0458
ΔE_f (raw) (eV per atom): -1.8996
DFT total energy (eV/f.u.): -30.2

```
Cs2LaBr5
1.0
3.018 -9.214 0.000
3.018 9.214 0.000
0.000 0.000 16.225
Cs La Br
4 2 10
direct
0.141 0.859 0.568 Cs
0.141 0.859 0.932 Cs
0.859 0.141 0.068 Cs
0.859 0.141 0.432 Cs
0.159 0.841 0.250 La
0.841 0.159 0.750 La
0.046 0.954 0.126 Br
0.046 0.954 0.374 Br
0.266 0.734 0.113 Br
0.266 0.734 0.387 Br
0.317 0.683 0.750 Br
0.683 0.317 0.250 Br
0.734 0.266 0.613 Br
0.734 0.266 0.887 Br
0.954 0.046 0.626 Br
0.954 0.046 0.874 Br
```

PdClF2: optimized geometry, PBE.

ΔE to the lowest computed polymorph (eV/atom): 0.8921
ΔE_f (raw) (eV per atom): -0.0422
DFT total energy (eV/f.u.): -11.0

```
PdClF2
1.0
0.000 3.010 3.010
3.010 0.000 3.010
3.010 3.010 0.000
Pd Cl F
1 1 2
direct
0.000 0.000 0.000 Pd
0.500 0.500 0.500 Cl
0.250 0.250 0.250 F
0.750 0.750 0.750 F
```

Cs2CeSe2I2: optimized geometry, PBE.

ΔE_f (raw) (eV per atom): -1.5227
DFT total energy (eV/f.u.): -28.4

```
Cs2CeSe2I2
1.0
-2.819 2.819 9.791
2.819 -2.819 9.791
2.819 2.819 -9.791
Cs Ce Se I
2 1 2 2
direct
0.132 0.132 0.000 Cs
0.868 0.868 0.000 Cs
0.500 0.500 0.000 Ce
0.000 0.500 0.500 Se
0.500 0.000 0.500 Se
0.338 0.338 0.000 I
0.662 0.662 0.000 I
```

LaBe2Os: optimized geometry, PBE.

ΔE to the lowest computed polymorph (eV/atom): 0.3556
ΔE_f (meV per atom): 217
DFT total energy (eV/f.u.): -22.7

```
LaBe2Os
1.0
3.140 0.000 0.000
0.000 3.140 0.000
0.000 0.000 6.743
La Be Os
1 2 1
direct
0.000 0.000 0.000 La
0.000 0.000 0.449 Be
0.500 0.500 0.641 Be
0.500 0.500 0.321 Os
```

Cs4I2ClF: optimized geometry, PBE.

ΔE_f (raw) (eV per atom): -1.8742
DFT total energy (eV/f.u.): -25.2

```
Cs4I2ClF
1.0
-5.045 5.175 7.207
5.045 -5.175 7.207
5.045 5.175 -7.207
Cs I Cl F
8 4 2 2
direct
0.274 0.256 0.482 Cs
0.274 0.792 0.018 Cs
0.279 0.241 0.037 Cs
0.296 0.759 0.537 Cs
0.704 0.241 0.463 Cs
0.721 0.759 0.963 Cs
0.726 0.208 0.982 Cs
0.726 0.744 0.518 Cs
0.000 0.000 0.500 I
0.000 0.500 0.000 I
0.000 0.500 0.500 I
0.500 0.500 0.000 I
0.000 0.000 0.000 Cl
0.500 0.000 0.500 Cl
0.500 0.000 0.000 F
0.500 0.500 0.500 F
```